[1]
Entry from Alexandria via LeMat-Bulk: a relaxed structure of LaYCoI (PBE).

Unit cell a=4.047 b=4.043 c=8.394 alpha=90.02 beta=103.87 gamma=119.98
Sites, in units of the cell vectors:
La  0.088  0.942  0.043
Y  0.513  0.154  0.684
Co  0.301  0.548  0.866
I  0.976  0.386  0.377

Crystal system: monoclinic
Raw formation energy (meV/atom): -612
Density of states at the Fermi level (states/eV/cell): 1.02

[2]
Entry from Alexandria via LeMat-Bulk: a relaxed structure of Rb3Cd2GeBr9 (PBE).

Unit cell a=7.881 b=7.881 c=9.645 alpha=90.00 beta=90.00 gamma=120.00
Sites, in units of the cell vectors:
Rb  0.333  0.667  0.669
Rb  0.000  0.000  0.000
Rb  0.667  0.333  0.331
Cd  0.333  0.667  0.168
Cd  0.667  0.333  0.832
Ge  0.000  0.000  0.500
Br  0.834  0.166  0.666
Br  0.834  0.667  0.666
Br  0.333  0.166  0.666
Br  0.667  0.834  0.334
Br  0.166  0.333  0.334
Br  0.166  0.834  0.334
Br  0.500  0.000  0.000
Br  0.000  0.500  0.000
Br  0.500  0.500  0.000

Crystal system: trigonal
Raw formation energy (meV/atom): -1144

[3]
Entry from Alexandria via LeMat-Bulk: a relaxed structure of LaDyNiGe (PBE).

Unit cell a=5.066 b=5.066 c=5.066 alpha=60.00 beta=60.00 gamma=60.00
Sites, in units of the cell vectors:
Ni  0.500  0.500  0.500
Ge  0.000  0.000  0.000
La  0.750  0.750  0.750
Dy  0.250  0.250  0.250

Formation energy from the elements (eV per atom): -0.48
Crystal system: cubic
Density of states at the Fermi level (states/eV/cell): 1.77

[4]
Entry from Alexandria via LeMat-Bulk: a relaxed structure of PmPr8Y6 (PBE).

Unit cell a=6.606 b=9.580 c=9.580 alpha=120.00 beta=90.00 gamma=90.00
Sites, in units of the cell vectors:
Pm  0.500  0.000  0.000
Pr  0.827  0.042  0.286
Pr  0.827  0.714  0.757
Pr  0.827  0.243  0.958
Pr  0.173  0.958  0.714
Pr  0.173  0.286  0.243
Pr  0.173  0.757  0.042
Pr  0.870  0.333  0.667
Pr  0.130  0.667  0.333
Y  0.664  0.654  0.097
Y  0.664  0.903  0.557
Y  0.664  0.443  0.346
Y  0.336  0.346  0.903
Y  0.336  0.097  0.443
Y  0.336  0.557  0.654

Formation energy from the elements (eV per atom): 0.17
Crystal system: trigonal
Distance to the lowest polymorph of the same formula (meV per atom): 54.2
Density of states at the Fermi level (states/eV/cell): 26.88

[5]
Entry from Alexandria via LeMat-Bulk: a relaxed structure of LaDyOsO6 (PBE).

Unit cell a=5.553 b=5.553 c=10.103 alpha=90.00 beta=90.00 gamma=120.00
Sites, in units of the cell vectors:
La  0.000  0.000  0.000
La  0.000  0.000  0.500
Dy  0.333  0.667  0.250
Dy  0.667  0.333  0.750
Os  0.667  0.333  0.250
Os  0.333  0.667  0.750
O  0.664  0.621  0.141
O  0.958  0.336  0.141
O  0.336  0.958  0.641
O  0.042  0.664  0.859
O  0.379  0.336  0.359
O  0.958  0.621  0.359
O  0.621  0.958  0.859
O  0.664  0.042  0.359
O  0.042  0.379  0.641
O  0.379  0.042  0.141
O  0.621  0.664  0.641
O  0.336  0.379  0.859

Crystal system: trigonal
Raw formation energy (meV/atom): -2382
Density of states at the Fermi level (states/eV/cell): 10.53

[6]
Entry from Alexandria via LeMat-Bulk: a relaxed structure of SrPmAu2O8 (PBE).

Unit cell a=6.124 b=6.124 c=6.145 alpha=119.89 beta=119.89 gamma=90.00
Sites, in units of the cell vectors:
Sr  0.750  0.250  0.500
Pm  0.000  0.000  0.000
Au  0.500  0.500  0.000
Au  0.250  0.750  0.500
O  0.719  0.774  0.037
O  0.318  0.263  0.037
O  0.566  0.626  0.567
O  0.001  0.941  0.567
O  0.059  0.434  0.433
O  0.374  0.999  0.433
O  0.226  0.682  0.963
O  0.737  0.281  0.963

Crystal system: tetragonal
Raw formation energy (meV/atom): -878
Density of states at the Fermi level (states/eV/cell): 6.48

[7]
Entry from Alexandria via LeMat-Bulk: a relaxed structure of PmPrHgIr (PBE).

Unit cell a=3.718 b=5.192 c=5.171 alpha=90.00 beta=90.00 gamma=90.00
Sites, in units of the cell vectors:
Pm  0.500  0.500  0.311
Pr  0.500  0.000  0.803
Hg  0.000  0.500  0.817
Ir  0.000  0.000  0.284

Formation energy from the elements (eV per atom): -0.46
Crystal system: orthorhombic
Distance to the lowest polymorph of the same formula (meV per atom): 32.1
Density of states at the Fermi level (states/eV/cell): 3.26

[8]
Entry from Alexandria via LeMat-Bulk: a relaxed structure of GdTiGa2 (PBE).

Unit cell a=4.126 b=4.387 c=4.387 alpha=90.00 beta=90.00 gamma=90.00
Sites, in units of the cell vectors:
Gd  0.500  0.500  0.500
Ga  0.000  0.000  0.500
Ga  0.000  0.500  0.000
Ti  0.500  0.000  0.000

Formation energy from the elements (eV per atom): -0.35
Crystal system: tetragonal
Distance to the lowest polymorph of the same formula (meV per atom): 89.4
Density of states at the Fermi level (states/eV/cell): 2.29

[9]
Entry from Alexandria via LeMat-Bulk: a relaxed structure of Pm3Al3Au8 (PBE).

Unit cell a=4.512 b=8.489 c=8.489 alpha=71.96 beta=74.59 gamma=74.59
Sites, in units of the cell vectors:
Pm  0.500  0.500  0.500
Pm  0.797  0.203  0.203
Pm  0.203  0.797  0.797
Al  0.500  0.000  0.000
Al  0.000  0.803  0.197
Al  0.000  0.197  0.803
Au  0.623  0.078  0.676
Au  0.377  0.922  0.324
Au  0.623  0.676  0.078
Au  0.377  0.324  0.922
Au  0.844  0.793  0.518
Au  0.156  0.207  0.482
Au  0.844  0.518  0.793
Au  0.156  0.482  0.207

Formation energy from the elements (eV per atom): -0.66
Crystal system: orthorhombic
Distance to the lowest polymorph of the same formula (meV per atom): 55.1
Density of states at the Fermi level (states/eV/cell): 6.81

[10]
Entry from Alexandria via LeMat-Bulk: a relaxed structure of Pm2BiTe (PBE).

Unit cell a=4.534 b=4.534 c=7.814 alpha=73.13 beta=73.13 gamma=60.00
Sites, in units of the cell vectors:
Te  0.500  0.500  0.500
Bi  0.000  0.000  0.000
Pm  0.750  0.750  0.751
Pm  0.250  0.250  0.249

Crystal system: trigonal
Distance to the lowest polymorph of the same formula (meV per atom): 8.2
Raw formation energy (meV/atom): -1193
Density of states at the Fermi level (states/eV/cell): 1.79

[11]
Entry from Alexandria via LeMat-Bulk: a relaxed structure of SrZrSb2Mo (PBE).

Unit cell a=5.622 b=4.972 c=5.622 alpha=90.00 beta=90.00 gamma=90.00
Sites, in units of the cell vectors:
Sb  0.000  0.000  0.500
Sb  0.500  0.000  0.000
Mo  0.000  0.500  0.000
Zr  0.000  0.000  0.000
Sr  0.500  0.500  0.500

Crystal system: tetragonal
Raw formation energy (meV/atom): 382
Density of states at the Fermi level (states/eV/cell): 4.77

[12]
Entry from Alexandria via LeMat-Bulk: a relaxed structure of NaCoGe2S (PBE).

Unit cell a=4.402 b=5.226 c=4.402 alpha=90.00 beta=90.00 gamma=90.00
Sites, in units of the cell vectors:
Na  0.000  0.500  0.000
Ge  0.000  0.000  0.500
Ge  0.500  0.000  0.000
Co  0.000  0.000  0.000
S  0.500  0.500  0.500

Crystal system: tetragonal
Raw formation energy (meV/atom): 48
Density of states at the Fermi level (states/eV/cell): 0.27

Number 1: theoretical density 6.009 g/cm3, final energy -5.62 eV per atom. Number 2: theoretical density 4.075 g/cm3, final energy -2.77 eV per atom. Number 3: theoretical density 7.815 g/cm3, final energy -5.46 eV per atom. Number 4: theoretical density 5.711 g/cm3, final energy -5.28 eV per atom. Number 5: theoretical density 7.235 g/cm3, final energy -7.99 eV per atom. Number 6: theoretical density 7.663 g/cm3, final energy -5.27 eV per atom. Number 7: theoretical density 11.292 g/cm3, final energy -5.13 eV per atom. Number 8: theoretical density 7.205 g/cm3, final energy -7.36 eV per atom. Number 9: theoretical density 11.895 g/cm3, final energy -4.35 eV per atom. Number 10: theoretical density 7.937 g/cm3, final energy -5.32 eV per atom. Number 11: theoretical density 5.476 g/cm3, final energy -5.48 eV per atom. Number 12: theoretical density 4.252 g/cm3, final energy -4.31 eV per atom.